An optimized crystal structure of Pr6As2P3Br. Source: the Alexandria database, functional PBE.

The value obtained for the formation energy from raw total energies is -1.536 eV per atom.

The structure belongs to space group C2/m (No. 12); the cell edges are 18.5998, 4.2376 and 8.5814 Å and the angles 90.00°, 103.76° and 90.00°. The distinct sites, in fractional coordinates, are Pr at (0.0018, 0.0000, 0.2253), Pr at (0.1660, 0.5000, 0.0856), Pr at (0.1750, 0.5000, 0.5835), As at (0.1651, 0.0000, 0.8290), P at (0.0000, 0.5000, 0.0000), P at (0.1647, 0.0000, 0.3342) and Br at (0.0000, 0.5000, 0.5000).